Density functional theory data (PBE) for a relaxed Mg4InPd crystal.

Unit cell a=8.1189 b=4.6815 c=7.9471 alpha=90.00 beta=109.30 gamma=90.00
Fractional positions:
Mg 0.1191 0.0000 0.3537
Mg 0.1349 0.5000 0.9030
Mg 0.3651 0.0000 0.0970
Mg 0.3809 0.5000 0.6463
Mg 0.6191 0.5000 0.3537
Mg 0.6349 0.0000 0.9030
Mg 0.8651 0.5000 0.0970
Mg 0.8809 0.0000 0.6463
In 0.0000 0.5000 0.5000
In 0.5000 0.0000 0.5000
Pd 0.0000 0.0000 0.0000
Pd 0.5000 0.5000 0.0000

Output
- distance to the lowest polymorph of the same formula (eV per atom) = 0.095
- calculated density (g/cm³) = 3.7

Density functional theory data (PBE) for a relaxed Mg8InPd5 crystal.

Unit cell a=6.9875 b=6.9875 c=6.9875 alpha=110.05 beta=110.05 gamma=108.32
Fractional positions:
Mg 0.1134 0.6840 0.7443
Mg 0.1566 0.2609 0.7489
Mg 0.3160 0.0604 0.4294
Mg 0.5120 0.4078 0.2511
Mg 0.5922 0.8434 0.1043
Mg 0.6310 0.8866 0.5706
Mg 0.7391 0.4880 0.8957
Mg 0.9396 0.3690 0.2557
In 0.0000 0.0000 0.0000
Pd 0.2127 0.6119 0.1391
Pd 0.3881 0.5272 0.6008
Pd 0.4728 0.0736 0.8609
Pd 0.7500 0.2500 0.5000
Pd 0.9264 0.7873 0.3992

Output
- calculated density (g/cm³) = 5.3

Density functional theory data (PBE) for a relaxed Mg3InPd12 crystal.

Unit cell a=4.0001 b=4.0001 c=15.9201 alpha=90.00 beta=90.00 gamma=90.00
Fractional positions:
Mg 0.0000 0.0000 0.0000
Mg 0.0000 0.0000 0.2483
Mg 0.0000 0.0000 0.7517
In 0.0000 0.0000 0.5000
Pd 0.0000 0.5000 0.1236
Pd 0.0000 0.5000 0.3714
Pd 0.0000 0.5000 0.6286
Pd 0.0000 0.5000 0.8764
Pd 0.5000 0.0000 0.1236
Pd 0.5000 0.0000 0.3714
Pd 0.5000 0.0000 0.6286
Pd 0.5000 0.0000 0.8764
Pd 0.5000 0.5000 0.0000
Pd 0.5000 0.5000 0.2465
Pd 0.5000 0.5000 0.5000
Pd 0.5000 0.5000 0.7535

Output
- calculated density (g/cm³) = 9.5

Density functional theory data (PBE) for a relaxed Mg2InPd4 crystal.

Unit cell a=6.3716 b=6.3716 c=6.1460 alpha=90.00 beta=90.00 gamma=90.00
Fractional positions:
Mg 0.0000 0.5000 0.0000
Mg 0.0000 0.5000 0.5000
Mg 0.5000 0.0000 0.0000
Mg 0.5000 0.0000 0.5000
In 0.0000 0.0000 0.0000
In 0.5000 0.5000 0.5000
Pd 0.2500 0.2500 0.2500
Pd 0.2500 0.2500 0.7500
Pd 0.2500 0.7500 0.2500
Pd 0.2500 0.7500 0.7500
Pd 0.7500 0.2500 0.2500
Pd 0.7500 0.2500 0.7500
Pd 0.7500 0.7500 0.2500
Pd 0.7500 0.7500 0.7500

Output
- calculated density (g/cm³) = 7.8

Density functional theory data (PBE) for a relaxed Mg3InPd crystal.

Unit cell a=5.6248 b=5.6248 c=8.9379 alpha=92.35 beta=92.35 gamma=48.10
Fractional positions:
Mg 0.0915 0.0915 0.3623
Mg 0.1281 0.1281 0.8971
Mg 0.3864 0.3864 0.3631
Mg 0.6136 0.6136 0.6369
Mg 0.8719 0.8719 0.1029
Mg 0.9085 0.9085 0.6377
In 0.4108 0.4108 0.8687
In 0.5892 0.5892 0.1313
Pd 0.2458 0.2458 0.6155
Pd 0.7542 0.7542 0.3845

Output
- distance to the lowest polymorph of the same formula (eV per atom) = 0.000
- calculated density (g/cm³) = 4.6

Density functional theory data (PBE) for a relaxed Mg8InPd2 crystal.

Unit cell a=4.5578 b=7.0655 c=7.9338 alpha=113.32 beta=106.50 gamma=90.31
Fractional positions:
Mg 0.0000 0.0000 0.0000
Mg 0.0601 0.4668 0.1229
Mg 0.2042 0.9868 0.4111
Mg 0.3518 0.8054 0.7030
Mg 0.4143 0.2696 0.8320
Mg 0.6451 0.1950 0.2911
Mg 0.7094 0.6591 0.4193
Mg 0.8557 0.4779 0.7115
In 0.5294 0.7326 0.0611
Pd 0.2221 0.3975 0.4448
Pd 0.8371 0.0673 0.6773

Output
- distance to the lowest polymorph of the same formula (eV per atom) = 0.000
- calculated density (g/cm³) = 3.9

Density functional theory data (PBE) for a relaxed Mg2In2Pd crystal.

Unit cell a=3.1639 b=3.1639 c=21.2017 alpha=90.00 beta=90.00 gamma=90.00
Fractional positions:
Mg 0.0000 0.0000 0.0757
Mg 0.0000 0.0000 0.9243
Mg 0.5000 0.5000 0.4243
Mg 0.5000 0.5000 0.5757
In 0.0000 0.0000 0.3103
In 0.0000 0.0000 0.6897
In 0.5000 0.5000 0.1897
In 0.5000 0.5000 0.8103
Pd 0.0000 0.0000 0.5000
Pd 0.5000 0.5000 0.0000

Output
- distance to the lowest polymorph of the same formula (eV per atom) = 0.000
- calculated density (g/cm³) = 6.0

Density functional theory data (PBE) for a relaxed MgInPd5 crystal.

Unit cell a=4.4686 b=4.4686 c=6.0845 alpha=90.00 beta=90.00 gamma=90.00
Fractional positions:
Mg 0.0000 0.0000 0.0000
In 0.5000 0.5000 0.5000
Pd 0.0000 0.0000 0.5000
Pd 0.0000 0.5000 0.2329
Pd 0.0000 0.5000 0.7671
Pd 0.5000 0.0000 0.2329
Pd 0.5000 0.0000 0.7671

Output
- distance to the lowest polymorph of the same formula (eV per atom) = 0.000
- calculated density (g/cm³) = 9.2

Density functional theory data (PBE) for a relaxed Mg3In3Pd2 crystal.

Unit cell a=7.1355 b=17.5490 c=5.3820 alpha=90.00 beta=90.00 gamma=90.00
Fractional positions:
Mg 0.0268 0.1166 0.1034
Mg 0.0268 0.3834 0.1034
Mg 0.1422 0.2500 0.6932
Mg 0.3578 0.7500 0.1932
Mg 0.4732 0.6166 0.6034
Mg 0.4732 0.8834 0.6034
Mg 0.5268 0.1166 0.3966
Mg 0.5268 0.3834 0.3966
Mg 0.6422 0.2500 0.8068
Mg 0.8578 0.7500 0.3068
Mg 0.9732 0.6166 0.8966
Mg 0.9732 0.8834 0.8966
In 0.1764 0.7500 0.6985
In 0.1811 0.0279 0.6108
In 0.1811 0.4721 0.6108
In 0.3189 0.5279 0.1108
In 0.3189 0.9721 0.1108
In 0.3236 0.2500 0.1985
In 0.6764 0.7500 0.8015
In 0.6811 0.0279 0.8892
In 0.6811 0.4721 0.8892
In 0.8189 0.5279 0.3892
In 0.8189 0.9721 0.3892
In 0.8236 0.2500 0.3015
Pd 0.1204 0.6259 0.4016
Pd 0.1204 0.8741 0.4016
Pd 0.3796 0.1259 0.9016
Pd 0.3796 0.3741 0.9016
Pd 0.6204 0.6259 0.0984
Pd 0.6204 0.8741 0.0984
Pd 0.8796 0.1259 0.5984
Pd 0.8796 0.3741 0.5984

Output
- calculated density (g/cm³) = 6.2

Density functional theory data (PBE) for a relaxed MgIn5Pd6 crystal.

Unit cell a=4.5943 b=6.6854 c=7.2429 alpha=90.00 beta=107.88 gamma=90.00
Fractional positions:
Mg 0.0000 0.0000 0.0000
In 0.0000 0.5000 0.0000
In 0.3337 0.5000 0.6667
In 0.3376 0.0000 0.6737
In 0.6624 0.0000 0.3263
In 0.6663 0.5000 0.3333
Pd 0.1654 0.2477 0.3325
Pd 0.1654 0.7523 0.3325
Pd 0.5000 0.2513 0.0000
Pd 0.5000 0.7487 0.0000
Pd 0.8346 0.2477 0.6675
Pd 0.8346 0.7523 0.6675

Output
- calculated density (g/cm³) = 9.7

Density functional theory data (PBE) for a relaxed MgIn2Pd9 crystal.

Unit cell a=4.0153 b=4.0153 c=12.0248 alpha=90.00 beta=90.00 gamma=90.00
Fractional positions:
Mg 0.0000 0.0000 0.0000
In 0.0000 0.0000 0.3309
In 0.0000 0.0000 0.6691
Pd 0.0000 0.5000 0.1625
Pd 0.0000 0.5000 0.5000
Pd 0.0000 0.5000 0.8375
Pd 0.5000 0.0000 0.1625
Pd 0.5000 0.0000 0.5000
Pd 0.5000 0.0000 0.8375
Pd 0.5000 0.5000 0.0000
Pd 0.5000 0.5000 0.3312
Pd 0.5000 0.5000 0.6688

Output
- calculated density (g/cm³) = 10.4

Density functional theory data (PBE) for a relaxed Mg2InPd2 crystal.

Unit cell a=6.7709 b=6.7709 c=6.7709 alpha=116.64 beta=82.42 gamma=133.11
Fractional positions:
Mg 0.1945 0.1558 0.3503
Mg 0.3055 0.6558 0.9613
Mg 0.6945 0.3442 0.0387
Mg 0.8055 0.8442 0.6497
In 0.2500 0.7500 0.5000
In 0.7500 0.2500 0.5000
Pd 0.0720 0.8267 0.8987
Pd 0.4280 0.3267 0.7546
Pd 0.5720 0.6733 0.2454
Pd 0.9280 0.1733 0.1013

Output
- calculated density (g/cm³) = 6.4

Density functional theory data (PBE) for a relaxed Mg4In3Pd crystal.

Unit cell a=3.2334 b=3.2334 c=16.4183 alpha=90.00 beta=90.00 gamma=90.00
Fractional positions:
Mg 0.0000 0.0000 0.0940
Mg 0.0000 0.0000 0.3630
Mg 0.0000 0.0000 0.6370
Mg 0.0000 0.0000 0.9060
In 0.5000 0.5000 0.2296
In 0.5000 0.5000 0.5000
In 0.5000 0.5000 0.7704
Pd 0.5000 0.5000 0.0000

Output
- calculated density (g/cm³) = 5.3

Density functional theory data (PBE) for a relaxed MgIn3Pd6 crystal.

Unit cell a=7.7046 b=4.7153 c=10.0486 alpha=90.00 beta=111.42 gamma=90.00
Fractional positions:
Mg 0.0497 0.2500 0.4107
Mg 0.9503 0.7500 0.5893
In 0.2171 0.2500 0.0136
In 0.3586 0.7500 0.7864
In 0.4634 0.2500 0.6180
In 0.5366 0.7500 0.3820
In 0.6414 0.2500 0.2136
In 0.7829 0.7500 0.9864
Pd 0.0656 0.7500 0.8752
Pd 0.1462 0.2500 0.7039
Pd 0.1537 0.7500 0.1866
Pd 0.2499 0.7500 0.4919
Pd 0.3395 0.2500 0.3181
Pd 0.4608 0.7500 0.0797
Pd 0.5392 0.2500 0.9203
Pd 0.6605 0.7500 0.6819
Pd 0.7501 0.2500 0.5081
Pd 0.8463 0.2500 0.8134
Pd 0.8538 0.7500 0.2961
Pd 0.9344 0.2500 0.1248

Output
- calculated density (g/cm³) = 9.8

Density functional theory data (PBE) for a relaxed MgInPd2 crystal.

Unit cell a=3.3078 b=3.3078 c=6.2506 alpha=90.00 beta=90.00 gamma=90.00
Fractional positions:
Mg 0.0000 0.0000 0.0000
In 0.0000 0.0000 0.5000
Pd 0.5000 0.5000 0.2465
Pd 0.5000 0.5000 0.7535

Output
- distance to the lowest polymorph of the same formula (eV per atom) = 0.035
- calculated density (g/cm³) = 8.5

Density functional theory data (PBE) for a relaxed MgIn3Pd3 crystal.

Unit cell a=5.6268 b=5.6268 c=5.6268 alpha=109.54 beta=109.54 gamma=109.54
Fractional positions:
Mg 0.0000 0.0000 0.0000
In 0.0009 0.5011 0.5011
In 0.5011 0.0009 0.5011
In 0.5011 0.5011 0.0009
Pd 0.0012 0.0012 0.5012
Pd 0.0012 0.5012 0.0012
Pd 0.5012 0.0012 0.0012

Output
- calculated density (g/cm³) = 8.4

Density functional theory data (PBE) for a relaxed Mg2In2Pd crystal.

Unit cell a=7.0919 b=7.0919 c=4.4123 alpha=90.00 beta=90.00 gamma=90.00
Fractional positions:
Mg 0.1637 0.3363 0.0000
Mg 0.3363 0.8363 0.0000
Mg 0.6637 0.1637 0.0000
Mg 0.8363 0.6637 0.0000
In 0.1453 0.6453 0.5000
In 0.3547 0.1453 0.5000
In 0.6453 0.8547 0.5000
In 0.8547 0.3547 0.5000
Pd 0.0000 0.0000 0.5000
Pd 0.5000 0.5000 0.5000

Output
- distance to the lowest polymorph of the same formula (eV per atom) = 0.163
- calculated density (g/cm³) = 5.8

Density functional theory data (PBE) for a relaxed MgInPd crystal.

Unit cell a=7.8402 b=6.3838 c=7.8159 alpha=66.14 beta=48.13 gamma=65.74
Fractional positions:
Mg 0.1251 0.3749 0.1252
Mg 0.1248 0.8752 0.1249
Mg 0.3749 0.1251 0.3748
Mg 0.8752 0.1248 0.8751
In 0.3716 0.6272 0.3729
In 0.6217 0.8771 0.6228
In 0.6272 0.3716 0.6283
In 0.8771 0.6217 0.8784
Pd 0.0020 0.4969 0.4979
Pd 0.2468 0.7521 0.7531
Pd 0.4969 0.0020 0.0032
Pd 0.7521 0.2468 0.2480

Output
- calculated density (g/cm³) = 6.3

Density functional theory data (PBE) for a relaxed Mg8InPd2 crystal.

Unit cell a=7.2964 b=7.2964 c=5.0319 alpha=98.21 beta=98.21 gamma=112.56
Fractional positions:
Mg 0.1119 0.1119 0.8000
Mg 0.1743 0.4346 0.4165
Mg 0.2503 0.7497 0.0000
Mg 0.4346 0.1743 0.4165
Mg 0.5654 0.8257 0.5835
Mg 0.7497 0.2503 0.0000
Mg 0.8257 0.5654 0.5835
Mg 0.8881 0.8881 0.2000
In 0.5000 0.5000 0.0000
Pd 0.1847 0.8153 0.5000
Pd 0.8153 0.1847 0.5000

Output
- distance to the lowest polymorph of the same formula (eV per atom) = 0.039
- calculated density (g/cm³) = 3.6

Density functional theory data (PBE) for a relaxed MgInPd4 crystal.

Unit cell a=4.4741 b=9.8034 c=4.4905 alpha=90.00 beta=90.00 gamma=90.00
Fractional positions:
Mg 0.0000 0.0000 0.0000
Mg 0.5000 0.5000 0.0000
In 0.0000 0.5000 0.5000
In 0.5000 0.0000 0.5000
Pd 0.0000 0.1623 0.5000
Pd 0.0000 0.3395 0.0000
Pd 0.0000 0.6605 0.0000
Pd 0.0000 0.8377 0.5000
Pd 0.5000 0.1605 0.0000
Pd 0.5000 0.3377 0.5000
Pd 0.5000 0.6623 0.5000
Pd 0.5000 0.8395 0.0000

Output
- distance to the lowest polymorph of the same formula (eV per atom) = 0.000
- calculated density (g/cm³) = 9.5

Density functional theory data (PBE) for a relaxed MgInPd2 crystal.

Unit cell a=5.4170 b=3.1295 c=8.6040 alpha=90.00 beta=102.38 gamma=90.00
Fractional positions:
Mg 0.0000 0.0000 0.0000
Mg 0.5000 0.5000 0.0000
In 0.3338 0.5000 0.5002
In 0.8338 0.0000 0.5002
Pd 0.0850 0.5000 0.7551
Pd 0.4150 0.0000 0.2451
Pd 0.5850 0.0000 0.7551
Pd 0.9150 0.5000 0.2451

Output
- distance to the lowest polymorph of the same formula (eV per atom) = 0.215
- calculated density (g/cm³) = 8.2

no.,formation enthalpy at 0 K (eV per atom)
1,-0.1892
2,-0.4336
3,-0.4562
4,-0.4747
5,-0.3420
6,-0.3278
7,-0.3226
8,-0.3402
9,-0.3600
10,-0.5571
11,-0.4384
12,-0.4340
13,-0.2656
14,-0.5325
15,-0.6320
16,-0.5066
17,-0.1593
18,-0.4317
19,-0.2888
20,-0.5073
21,-0.4520